SrZr2Cd | Alexandria via LeMat-Bulk | PBE-GGA | optimized geometry; total DFT energy (no corrections) = -4.594 eV per atom; V = 26.55 Å³/atom; total magnetic moment = 0.000 μB per cell
1.0
5.594 0.002 0.007
-2.724 6.091 0.002
0.146 0.855 3.117
Cd Sr Zr
1 1 2
Direct
0.000 0.500 0.500 Cd
0.500 0.500 0.000 Sr
0.000 0.000 0.000 Zr
0.500 0.000 0.500 Zr